NdSi2Rh2: relaxed, PBE.

Summary:
Symmetry: No. 70
Energy relative to the elements, uncorrected, eV per atom: -0.973
Magnetic moment, μB/f.u.: 0.000
N(E_F), states/eV/f.u.: 2.87

Structure (POSCAR):
```
NdSi2Rh2
1.0
0.000 4.994 6.504
2.836 0.000 6.504
2.836 4.994 0.000
Nd Si Rh
2 4 4
direct
0.125 0.125 0.125
0.875 0.875 0.875
0.186 0.564 0.186
0.436 0.814 0.436
0.564 0.186 0.564
0.814 0.436 0.814
0.261 0.261 0.489
0.489 0.489 0.261
0.511 0.511 0.739
0.739 0.739 0.511
```